No. 1
! NbP2PtCl, relaxed, DFT GGA-PBE; values from VASP
&SYSTEM
  ibrav = 0, nat = 5, ntyp = 4
/
ATOMIC_SPECIES
P 30.97 P.upf
Nb 92.91 Nb.upf
Pt 195.08 Pt.upf
Cl 35.45 Cl.upf
CELL_PARAMETERS angstrom
-0.6818 -2.6947 4.0120
3.3261 -3.2013 -1.5850
3.3109 2.3725 2.1561
ATOMIC_POSITIONS crystal
P 0.0000 0.5000 0.0000
P 0.5000 0.0000 0.0000
Nb 0.0000 0.0000 0.0000
Pt 0.5000 0.5000 0.5000
Cl 0.0000 0.0000 0.5000
! N(E_F): 4.37 states/eV/f.u.
! E_form (uncorrected): 0.607 eV/atom
! DFT total energy: -25.74 eV per formula unit
! Distance to the lowest polymorph of the same formula: 0 kJ/mol of formula units
! Space-group type: P4/mmm

---

No. 2
! KTlCu2Rh, relaxed, DFT GGA-PBE; values from VASP
&SYSTEM
  ibrav = 0, nat = 5, ntyp = 4
/
ATOMIC_SPECIES
Tl 204.38 Tl.upf
Rh 102.91 Rh.upf
K 39.10 K.upf
Cu 63.55 Cu.upf
CELL_PARAMETERS angstrom
4.9403 0.0000 0.0000
0.0000 5.9995 0.0000
0.0000 0.0000 4.9403
ATOMIC_POSITIONS crystal
Tl 0.0000 0.0000 0.0000
Rh 0.5000 0.5000 0.5000
K 0.0000 0.5000 0.0000
Cu 0.0000 0.0000 0.5000
Cu 0.5000 0.0000 0.0000
! N(E_F): 7.54 states/eV/f.u.
! DFT total energy: -12.64 eV per formula unit
! DFT formation energy: 1273 meV per atom
! Space-group type: P4/mmm